Record 1
Sr2LaCdIr | SCAN | PBEsol geometry

Energy relative to the elements, eV per formula unit: 4.23
Space group: P4/mmm (123)

Unit cell a=5.700 b=5.700 c=5.800 alpha=90.00 beta=90.00 gamma=90.00
Positions (direct):
Cd (0.000, 0.000, 0.000)
Ir (0.500, 0.500, 0.500)
Sr (0.000, 0.500, 0.000)
Sr (0.500, 0.000, 0.000)
La (0.000, 0.000, 0.500)


Record 2
Y2CdCuSb | SCAN | PBEsol geometry

E_form (uncorrected), eV per atom: -0.16
Space group: P4/mmm (123)

Unit cell a=4.745 b=5.230 c=5.230 alpha=90.00 beta=90.00 gamma=90.00
Positions (direct):
Y (0.000, 0.000, 0.500)
Y (0.000, 0.500, 0.000)
Sb (0.500, 0.000, 0.000)
Cu (0.000, 0.000, 0.000)
Cd (0.500, 0.500, 0.500)